(1)
{"formula": "ScMoPb2", "functional": "SCAN", "state": "single point on PBEsol structure", "de_polymorph_mev_per_atom": 22.8, "spacegroup": "No. 12", "e_form_ev_per_atom": 0.199, "lattice_angstrom": [[3.144, -4.048, 0.000], [3.144, 4.048, 0.000], [-0.685, 0.000, 3.342]], "species": ["Sc", "Mo", "Pb", "Pb"], "fractional_positions": [[0.000, 0.000, 0.000], [0.500, 0.500, 0.000], [0.000, 0.500, 0.500], [0.500, 0.000, 0.500]]}

***

(2)
{"formula": "ScMoPb2", "functional": "SCAN", "state": "single point on PBEsol structure", "de_polymorph_mev_per_atom": 67.3, "spacegroup": "No. 10", "e_form_ev_per_atom": 0.244, "lattice_angstrom": [[3.178, 0.000, 0.000], [0.000, 4.724, 0.000], [-0.544, 0.000, 5.735]], "species": ["Sc", "Mo", "Pb", "Pb"], "fractional_positions": [[0.000, 0.000, 0.000], [0.500, 0.000, 0.500], [0.305, 0.500, 0.745], [0.695, 0.500, 0.255]]}

***

(3)
{"formula": "ScMoPb2", "functional": "SCAN", "state": "single point on PBEsol structure", "de_polymorph_mev_per_atom": 21.2, "spacegroup": "No. 47", "e_form_ev_per_atom": 0.198, "lattice_angstrom": [[3.689, 0.000, 0.000], [0.000, 4.501, 0.000], [0.000, 0.000, 5.096]], "species": ["Sc", "Mo", "Pb", "Pb"], "fractional_positions": [[0.000, 0.000, 0.000], [0.500, 0.000, 0.500], [0.000, 0.500, 0.500], [0.500, 0.500, 0.000]]}

***

(4)
{"formula": "ScMoPb2", "functional": "SCAN", "state": "single point on PBEsol structure", "de_polymorph_mev_per_atom": 0.0, "spacegroup": "No. 139", "e_form_ev_per_atom": 0.176, "lattice_angstrom": [[-2.363, 2.363, 3.677], [2.363, -2.363, 3.677], [2.363, 2.363, -3.677]], "species": ["Sc", "Mo", "Pb", "Pb"], "fractional_positions": [[0.000, 0.000, 0.000], [0.500, 0.500, 0.000], [0.250, 0.750, 0.500], [0.750, 0.250, 0.500]]}

***

(5)
{"formula": "MoPb2Se", "functional": "SCAN", "state": "single point on PBEsol structure", "raw_formation_energy_mev_per_atom": 653, "spacegroup": "No. 216", "lattice_angstrom": [[0.000, 3.557, 3.557], [3.557, 0.000, 3.557], [3.557, 3.557, 0.000]], "species": ["Mo", "Pb", "Pb", "Se"], "fractional_positions": [[0.000, 0.000, 0.000], [0.250, 0.250, 0.250], [0.500, 0.500, 0.500], [0.750, 0.750, 0.750]]}

***

(6)
{"formula": "MoPb2Se", "functional": "SCAN", "state": "single point on PBEsol structure", "raw_formation_energy_mev_per_atom": 632, "spacegroup": "No. 10", "lattice_angstrom": [[3.614, 0.000, 0.000], [0.000, 3.612, 0.000], [-0.107, 0.000, 6.618]], "species": ["Mo", "Pb", "Pb", "Se"], "fractional_positions": [[0.000, 0.000, 0.000], [0.495, 0.500, 0.770], [0.505, 0.500, 0.230], [0.000, 0.000, 0.500]]}

***

(7)
{"formula": "Mo15Pb2Se19", "functional": "SCAN", "state": "single point on PBEsol structure", "raw_formation_energy_mev_per_atom": -535, "spacegroup": "No. 167", "lattice_angstrom": [[4.790, 2.766, 19.334], [-4.790, 2.766, 19.334], [0.000, -5.531, 19.334]], "species": ["Mo", "Mo", "Mo", "Mo", "Mo", "Mo", "Mo", "Mo", "Mo", "Mo", "Mo", "Mo", "Mo", "Mo", "Mo", "Mo", "Mo", "Mo", "Mo", "Mo", "Mo", "Mo", "Mo", "Mo", "Mo", "Mo", "Mo", "Mo", "Mo", "Mo", "Pb", "Pb", "Pb", "Pb", "Se", "Se", "Se", "Se", "Se", "Se", "Se", "Se", "Se", "Se", "Se", "Se", "Se", "Se", "Se", "Se", "Se", "Se", "Se", "Se", "Se", "Se", "Se", "Se", "Se", "Se", "Se", "Se", "Se", "Se", "Se", "Se", "Se", "Se", "Se", "Se", "Se", "Se"], "fractional_positions": [[0.002, 0.128, 0.812], [0.047, 0.364, 0.223], [0.089, 0.250, 0.411], [0.128, 0.812, 0.002], [0.136, 0.453, 0.277], [0.188, 0.998, 0.872], [0.223, 0.047, 0.364], [0.250, 0.411, 0.089], [0.277, 0.136, 0.453], [0.312, 0.628, 0.502], [0.364, 0.223, 0.047], [0.372, 0.498, 0.688], [0.411, 0.089, 0.250], [0.453, 0.277, 0.136], [0.498, 0.688, 0.372], [0.502, 0.312, 0.628], [0.547, 0.723, 0.864], [0.589, 0.911, 0.750], [0.628, 0.502, 0.312], [0.636, 0.777, 0.953], [0.688, 0.372, 0.498], [0.723, 0.864, 0.547], [0.750, 0.589, 0.911], [0.777, 0.953, 0.636], [0.812, 0.002, 0.128], [0.864, 0.547, 0.723], [0.872, 0.188, 0.998], [0.911, 0.750, 0.589], [0.953, 0.636, 0.777], [0.998, 0.872, 0.188], [0.127, 0.127, 0.127], [0.373, 0.373, 0.373], [0.627, 0.627, 0.627], [0.873, 0.873, 0.873], [0.044, 0.682, 0.417], [0.054, 0.054, 0.054], [0.060, 0.304, 0.686], [0.061, 0.439, 0.750], [0.083, 0.818, 0.456], [0.177, 0.177, 0.177], [0.182, 0.544, 0.917], [0.186, 0.804, 0.560], [0.196, 0.440, 0.814], [0.250, 0.939, 0.561], [0.304, 0.686, 0.060], [0.314, 0.940, 0.696], [0.318, 0.583, 0.956], [0.323, 0.323, 0.323], [0.417, 0.044, 0.682], [0.439, 0.750, 0.061], [0.440, 0.814, 0.196], [0.446, 0.446, 0.446], [0.456, 0.083, 0.818], [0.544, 0.917, 0.182], [0.554, 0.554, 0.554], [0.560, 0.186, 0.804], [0.561, 0.250, 0.939], [0.583, 0.956, 0.318], [0.677, 0.677, 0.677], [0.682, 0.417, 0.044], [0.686, 0.060, 0.304], [0.696, 0.314, 0.940], [0.750, 0.061, 0.439], [0.804, 0.560, 0.186], [0.814, 0.196, 0.440], [0.818, 0.456, 0.083], [0.823, 0.823, 0.823], [0.917, 0.182, 0.544], [0.939, 0.561, 0.250], [0.940, 0.696, 0.314], [0.946, 0.946, 0.946], [0.956, 0.318, 0.583]]}

***

(8)
{"formula": "SiMoPb", "functional": "SCAN", "state": "single point on PBEsol structure", "raw_formation_energy_mev_per_atom": 595, "spacegroup": "No. 42", "lattice_angstrom": [[0.000, 2.360, 6.816], [1.797, 0.000, 6.816], [1.797, 2.360, 0.000]], "species": ["Si", "Mo", "Pb"], "fractional_positions": [[0.000, 0.000, 0.000], [0.376, 0.376, 0.624], [0.702, 0.702, 0.298]]}

***

Number 1: Fermi-level density of states 1.85 states/eV/cell. Number 2: Fermi-level density of states 3.27 states/eV/cell. Number 3: Fermi-level density of states 3.06 states/eV/cell. Number 4: Fermi-level density of states 3.76 states/eV/cell. Number 5: Fermi-level density of states 2.01 states/eV/cell. Number 6: Fermi-level density of states 3.56 states/eV/cell. Number 7: Fermi-level density of states 40.23 states/eV/cell. Number 8: Fermi-level density of states 1.25 states/eV/cell.